No. 1
PBE NpMoC2, relaxed; E_tot = -10.622 eV per atom; SG = No. 166; crystal system = trigonal
1.0
1.6039 0.9260 5.4868
-1.6039 0.9260 5.4868
0.0000 -1.8520 5.4868
Np Mo C
1 1 2
Direct
0.0000 0.0000 0.0000
0.5000 0.5000 0.5000
0.2410 0.2410 0.2410
0.7590 0.7590 0.7590

***

No. 2
PBE Y2Si2MoOsC, relaxed; E_tot = -8.505 eV per atom; SG = No. 8; crystal system = monoclinic
1.0
5.5473 -1.9796 0.0000
5.5473 1.9796 0.0000
-4.2933 0.0000 5.5367
Y Si Mo Os C
2 2 1 1 1
Direct
0.0000 0.0000 0.0000
0.1410 0.1410 0.5990
0.4361 0.4361 0.6175
0.7179 0.7179 0.9825
0.7727 0.7727 0.3876
0.3623 0.3623 0.2008
0.5670 0.5670 0.2952

***

No. 3
PBE MoP2C, relaxed; E_tot = -7.133 eV per atom; SG = No. 194; crystal system = hexagonal
1.0
2.9308 0.0000 0.0000
-1.4654 2.5381 0.0000
0.0000 0.0000 12.4591
Mo P C
2 4 2
Direct
0.3333 0.6667 0.2500
0.6667 0.3333 0.7500
0.3333 0.6667 0.6011
0.3333 0.6667 0.8989
0.6667 0.3333 0.1011
0.6667 0.3333 0.3989
0.0000 0.0000 0.0000
0.0000 0.0000 0.5000

***

No. 4
PBE Mo4PPbC2, relaxed; E_tot = -8.884 eV per atom; SG = No. 187; crystal system = hexagonal
1.0
3.2579 0.0000 0.0000
-1.6290 2.8215 0.0000
0.0000 0.0000 12.5062
Mo P Pb C
4 1 1 2
Direct
0.0000 0.0000 0.1316
0.0000 0.0000 0.8684
0.6667 0.3333 0.3029
0.6667 0.3333 0.6971
0.6667 0.3333 0.0000
0.0000 0.0000 0.5000
0.3333 0.6667 0.2321
0.3333 0.6667 0.7679

***

No. 5
PBE Mo4PPbC2, relaxed; E_tot = -8.884 eV per atom; SG = No. 187; crystal system = hexagonal
1.0
3.2579 0.0000 0.0000
-1.6290 2.8215 0.0000
0.0000 0.0000 12.5062
Mo P Pb C
4 1 1 2
Direct
0.0000 0.0000 0.1316
0.0000 0.0000 0.8684
0.3333 0.6667 0.3029
0.3333 0.6667 0.6971
0.3333 0.6667 0.0000
0.0000 0.0000 0.5000
0.6667 0.3333 0.2321
0.6667 0.3333 0.7679

***

No. 6
PBE Sc2Mo4P3C3, relaxed; E_tot = -8.856 eV per atom; SG = No. 15; crystal system = monoclinic
1.0
4.8763 -2.8416 0.0000
4.8763 2.8416 0.0000
-3.2119 0.0000 11.5386
Sc Mo P C
4 8 6 6
Direct
0.0358 0.8721 0.6090
0.1279 0.9642 0.8910
0.8721 0.0358 0.1090
0.9642 0.1279 0.3910
0.2001 0.3592 0.0922
0.3001 0.4734 0.4077
0.3592 0.2001 0.5922
0.4734 0.3001 0.9077
0.5266 0.6999 0.0923
0.6408 0.7999 0.4078
0.6999 0.5266 0.5923
0.7999 0.6408 0.9078
0.0805 0.2716 0.7493
0.2716 0.0805 0.2493
0.4345 0.5655 0.7500
0.5655 0.4345 0.2500
0.7284 0.9195 0.7507
0.9195 0.7284 0.2507
0.0000 0.5000 0.5000
0.1668 0.6652 0.9998
0.3348 0.8332 0.5002
0.5000 0.0000 0.0000
0.6652 0.1668 0.4998
0.8332 0.3348 0.0002

***

No. 7
PBE Ta4Mo2P3C3, relaxed; E_tot = -9.981 eV per atom; SG = No. 15; crystal system = monoclinic
1.0
4.9045 -2.8332 0.0000
4.9045 2.8332 0.0000
-3.2729 0.0000 11.5180
Ta Mo P C
8 4 6 6
Direct
0.0249 0.2088 0.1008
0.1425 0.2982 0.3993
0.2088 0.0249 0.6008
0.2982 0.1425 0.8993
0.7018 0.8575 0.1007
0.7912 0.9751 0.3992
0.8575 0.7018 0.6007
0.9751 0.7912 0.8992
0.3760 0.5317 0.0941
0.4683 0.6240 0.4059
0.5317 0.3760 0.5941
0.6240 0.4683 0.9059
0.0974 0.9026 0.2500
0.2634 0.4174 0.7495
0.4174 0.2634 0.2495
0.5826 0.7366 0.7505
0.7366 0.5826 0.2505
0.9026 0.0974 0.7500
0.0000 0.5000 0.0000
0.1529 0.6728 0.5000
0.3272 0.8471 0.0000
0.5000 0.0000 0.5000
0.6728 0.1529 0.0000
0.8471 0.3272 0.5000

***

No. 8
PBE Ta2Mo4P3C3, relaxed; E_tot = -9.617 eV per atom; SG = No. 15; crystal system = monoclinic
1.0
4.8337 -2.7965 0.0000
4.8337 2.7965 0.0000
-3.2443 0.0000 11.6122
Ta Mo P C
4 8 6 6
Direct
0.0325 0.8587 0.6018
0.1413 0.9675 0.8982
0.8587 0.0325 0.1018
0.9675 0.1413 0.3982
0.1963 0.3793 0.0952
0.3126 0.4532 0.4059
0.3793 0.1963 0.5952
0.4532 0.3126 0.9059
0.5468 0.6874 0.0941
0.6207 0.8037 0.4048
0.6874 0.5468 0.5941
0.8037 0.6207 0.9048
0.0822 0.2655 0.7501
0.2655 0.0822 0.2501
0.4325 0.5675 0.7500
0.5675 0.4325 0.2500
0.7345 0.9178 0.7499
0.9178 0.7345 0.2499
0.0000 0.5000 0.5000
0.1609 0.6809 0.0006
0.3191 0.8391 0.4994
0.5000 0.0000 0.0000
0.6809 0.1609 0.5006
0.8391 0.3191 0.9994

***

No. 9
PBE TlMo4PC2, relaxed; E_tot = -8.736 eV per atom; SG = No. 187; crystal system = hexagonal
1.0
3.2245 0.0000 0.0000
-1.6122 2.7925 0.0000
0.0000 0.0000 12.5699
Tl Mo P C
1 4 1 2
Direct
0.0000 0.0000 0.0000
0.0000 0.0000 0.3672
0.0000 0.0000 0.6328
0.3333 0.6667 0.1947
0.3333 0.6667 0.8053
0.3333 0.6667 0.5000
0.6667 0.3333 0.2683
0.6667 0.3333 0.7317

***

No. 10
PBE Mo2P3W4C3, relaxed; E_tot = -9.824 eV per atom; SG = No. 15; crystal system = monoclinic
1.0
4.8383 -2.8010 0.0000
4.8383 2.8010 0.0000
-3.0751 0.0000 11.4922
Mo P W C
4 6 8 6
Direct
0.0361 0.8962 0.6044
0.1038 0.9639 0.8956
0.8962 0.0361 0.1044
0.9639 0.1038 0.3956
0.0841 0.2607 0.7534
0.2607 0.0841 0.2534
0.4218 0.5782 0.7500
0.5782 0.4218 0.2500
0.7393 0.9159 0.7466
0.9159 0.7393 0.2466
0.2006 0.3331 0.0931
0.2726 0.5032 0.4053
0.3331 0.2006 0.5931
0.4968 0.7274 0.0947
0.5032 0.2726 0.9053
0.6669 0.7994 0.4069
0.7274 0.4968 0.5947
0.7994 0.6669 0.9069
0.0000 0.5000 0.5000
0.1756 0.6459 0.9987
0.3541 0.8244 0.5013
0.5000 0.0000 0.0000
0.6459 0.1756 0.4987
0.8244 0.3541 0.0013

***

No. 11
PBE Y4Mo2P3C3, relaxed; E_tot = -8.231 eV per atom; SG = No. 15; crystal system = monoclinic
1.0
5.2018 -2.9669 0.0000
5.2018 2.9669 0.0000
-3.4005 0.0000 12.7236
Y Mo P C
8 4 6 6
Direct
0.0405 0.1949 0.1115
0.1158 0.2970 0.3887
0.1949 0.0405 0.6115
0.2970 0.1158 0.8887
0.7030 0.8842 0.1113
0.8051 0.9595 0.3885
0.8842 0.7030 0.6113
0.9595 0.8051 0.8885
0.3458 0.5237 0.0804
0.4763 0.6542 0.4196
0.5237 0.3458 0.5804
0.6542 0.4763 0.9196
0.1677 0.8323 0.2500
0.3239 0.3979 0.7489
0.3979 0.3239 0.2489
0.6021 0.6761 0.7511
0.6761 0.6021 0.2511
0.8323 0.1677 0.7500
0.0000 0.5000 0.0000
0.2012 0.6469 0.4984
0.3531 0.7988 0.0016
0.5000 0.0000 0.5000
0.6469 0.2012 0.9984
0.7988 0.3531 0.5016

***

No. 12
PBE Y2Mo4P3C3, relaxed; E_tot = -8.742 eV per atom; SG = No. 15; crystal system = monoclinic
1.0
4.8923 -2.8726 0.0000
4.8923 2.8726 0.0000
-2.8774 0.0000 12.3668
Y Mo P C
4 8 6 6
Direct
0.0337 0.8737 0.6176
0.1263 0.9663 0.8824
0.8737 0.0337 0.1176
0.9663 0.1263 0.3824
0.2028 0.3398 0.0844
0.2969 0.4964 0.4138
0.3398 0.2028 0.5844
0.4964 0.2969 0.9138
0.5036 0.7031 0.0862
0.6602 0.7972 0.4156
0.7031 0.5036 0.5862
0.7972 0.6602 0.9156
0.0601 0.3156 0.7416
0.3156 0.0601 0.2416
0.4657 0.5343 0.7500
0.5343 0.4657 0.2500
0.6844 0.9399 0.7584
0.9399 0.6844 0.2584
0.0000 0.5000 0.5000
0.1736 0.6484 0.9981
0.3516 0.8264 0.5019
0.5000 0.0000 0.0000
0.6484 0.1736 0.4981
0.8264 0.3516 0.0019

***

No. 13
PBE ZnMo4PC2, relaxed; E_tot = -8.666 eV per atom; SG = No. 187; crystal system = hexagonal
1.0
3.1029 0.0000 0.0000
-1.5515 2.6872 0.0000
0.0000 0.0000 12.5945
Zn Mo P C
1 4 1 2
Direct
0.0000 0.0000 0.0000
0.0000 0.0000 0.3602
0.0000 0.0000 0.6398
0.3333 0.6667 0.1751
0.3333 0.6667 0.8249
0.3333 0.6667 0.5000
0.6667 0.3333 0.2606
0.6667 0.3333 0.7394

***

No. 14
PBE ZnMo4PC2, relaxed; E_tot = -8.666 eV per atom; SG = No. 187; crystal system = hexagonal
1.0
3.1029 0.0000 0.0000
-1.5514 2.6872 0.0000
0.0000 0.0000 12.5943
Zn Mo P C
1 4 1 2
Direct
0.0000 0.0000 0.0000
0.0000 0.0000 0.3602
0.0000 0.0000 0.6398
0.6667 0.3333 0.1751
0.6667 0.3333 0.8249
0.6667 0.3333 0.5000
0.3333 0.6667 0.2606
0.3333 0.6667 0.7394

***

No. 15
PBE Zr2Mo4P3C3, relaxed; E_tot = -9.214 eV per atom; SG = No. 15; crystal system = monoclinic
1.0
4.9016 -2.8424 0.0000
4.9016 2.8424 0.0000
-3.2619 0.0000 11.7444
Zr Mo P C
4 8 6 6
Direct
0.0358 0.8698 0.6086
0.1302 0.9642 0.8914
0.8698 0.0358 0.1086
0.9642 0.1302 0.3914
0.1991 0.3655 0.0913
0.3042 0.4657 0.4084
0.3655 0.1991 0.5913
0.4657 0.3042 0.9084
0.5343 0.6958 0.0916
0.6345 0.8009 0.4087
0.6958 0.5343 0.5916
0.8009 0.6345 0.9087
0.0826 0.2800 0.7497
0.2800 0.0826 0.2497
0.4453 0.5547 0.7500
0.5547 0.4453 0.2500
0.7200 0.9174 0.7503
0.9174 0.7200 0.2503
0.0000 0.5000 0.5000
0.1677 0.6654 0.0000
0.3346 0.8323 0.5000
0.5000 0.0000 0.0000
0.6654 0.1677 0.5000
0.8323 0.3346 0.0000

***

No. 16
PBE MoPb2C, relaxed; E_tot = -5.439 eV per atom; SG = No. 194; crystal system = hexagonal
1.0
3.3726 0.0000 0.0000
-1.6863 2.9208 0.0000
0.0000 0.0000 14.9542
Mo Pb C
2 4 2
Direct
0.3333 0.6667 0.2500
0.6667 0.3333 0.7500
0.3333 0.6667 0.6024
0.3333 0.6667 0.8976
0.6667 0.3333 0.1024
0.6667 0.3333 0.3976
0.0000 0.0000 0.0000
0.0000 0.0000 0.5000

***

No. 17
PBE SbMo4PbC2, relaxed; E_tot = -8.561 eV per atom; SG = No. 187; crystal system = hexagonal
1.0
3.2409 0.0000 0.0000
-1.6204 2.8067 0.0000
0.0000 0.0000 13.4829
Sb Mo Pb C
1 4 1 2
Direct
0.0000 0.0000 0.0000
0.0000 0.0000 0.3223
0.0000 0.0000 0.6777
0.3333 0.6667 0.1638
0.3333 0.6667 0.8362
0.3333 0.6667 0.5000
0.6667 0.3333 0.2450
0.6667 0.3333 0.7550

***

No. 18
PBE Sc4Mo2Pb3C3, relaxed; E_tot = -7.577 eV per atom; SG = No. 15; crystal system = monoclinic
1.0
4.9717 -2.8904 0.0000
4.9717 2.8904 0.0000
-3.1914 0.0000 14.4678
Sc Mo Pb C
8 4 6 6
Direct
0.0370 0.1840 0.0838
0.1297 0.3063 0.4161
0.1840 0.0370 0.5838
0.3063 0.1297 0.9161
0.6937 0.8703 0.0839
0.8160 0.9630 0.4162
0.8703 0.6937 0.5839
0.9630 0.8160 0.9162
0.3424 0.5222 0.0705
0.4778 0.6576 0.4295
0.5222 0.3424 0.5705
0.6576 0.4778 0.9295
0.1018 0.8982 0.2500
0.2642 0.4166 0.7511
0.4166 0.2642 0.2511
0.5834 0.7358 0.7489
0.7358 0.5834 0.2489
0.8982 0.1018 0.7500
0.0000 0.5000 0.0000
0.1862 0.6573 0.5000
0.3427 0.8138 0.0000
0.5000 0.0000 0.5000
0.6573 0.1862 0.0000
0.8138 0.3427 0.5000